VASP calculation (PBE) on an optimized crystal structure of LiAc3Zn2Au6.

POSCAR file:
```
LiAc3Zn2Au6
1.0
6.485 0.000 0.000
-3.243 5.616 0.000
0.000 0.000 8.400
Li Ac Zn Au
1 3 2 6
Direct
0.000 0.000 0.500
0.333 0.667 0.645
0.667 0.333 0.355
0.000 0.000 0.000
0.667 0.333 0.957
0.333 0.667 0.043
0.641 0.820 0.296
0.180 0.359 0.296
0.180 0.820 0.296
0.820 0.641 0.704
0.359 0.180 0.704
0.820 0.180 0.704
```

Properties
ΔH_f (0 K) (eV per atom): -0.50